[1]
# PBE-GGA LiMg4Sb, relaxed
# Total magnetic moment ... 0.0 μB/cell
# E_tot ... -48.91 eV per cell
data_LiMg4Sb
_chemical_formula_sum 'Li4 Mg16 Sb4'
_symmetry_space_group_name_H-M 'F -4 3 m'
_symmetry_Int_Tables_number 216
_symmetry_space_group_name_Hall 'F -4 2 3'
_cell_length_a 8.3177
_cell_length_b 8.3177
_cell_length_c 8.3177
_cell_angle_alpha 90.00
_cell_angle_beta 90.00
_cell_angle_gamma 90.00
loop_
_atom_site_label
_atom_site_fract_x
_atom_site_fract_y
_atom_site_fract_z
Li1 0.0000 0.0000 0.0000
Mg1 0.1249 0.1249 0.6249
Sb1 0.2500 0.2500 0.2500

[2]
# PBE-GGA TbGdTc, relaxed
# Total magnetic moment ... 14.3 μB/cell
# E_tot ... -58.27 eV per cell
data_TbGdTc
_chemical_formula_sum 'Tb2 Gd2 Tc2'
_symmetry_space_group_name_H-M 'I 4 m m'
_symmetry_Int_Tables_number 107
_symmetry_space_group_name_Hall 'I 4 -2'
_cell_length_a 3.4745
_cell_length_b 3.4745
_cell_length_c 12.6421
_cell_angle_alpha 90.00
_cell_angle_beta 90.00
_cell_angle_gamma 90.00
loop_
_atom_site_label
_atom_site_fract_x
_atom_site_fract_y
_atom_site_fract_z
Tb1 0.0000 0.0000 0.0000
Gd1 0.0000 0.0000 0.2595
Tc1 0.0000 0.0000 0.6294

[3]
# PBE-GGA CaMg2Ag2, relaxed
# Distance to the lowest polymorph of the same formula ... 33 meV/atom
# Total magnetic moment ... 0.0 μB/cell
# E_tot ... -23.71 eV per cell
data_CaMg2Ag2
_chemical_formula_sum 'Ca2 Mg4 Ag4'
_symmetry_space_group_name_H-M 'P 4/m b m'
_symmetry_Int_Tables_number 127
_symmetry_space_group_name_Hall '-P 4 2ab'
_cell_length_a 8.1950
_cell_length_b 8.1950
_cell_length_c 3.3030
_cell_angle_alpha 90.00
_cell_angle_beta 90.00
_cell_angle_gamma 90.00
loop_
_atom_site_label
_atom_site_fract_x
_atom_site_fract_y
_atom_site_fract_z
Ca1 0.0000 0.0000 0.0000
Mg1 0.1497 0.3503 0.5000
Ag1 0.1422 0.6422 0.0000